The following is a DFT calculation (PBE) of La6AlAg after structural relaxation.

```
La6AlAg
1.0
-8.959 0.308 -3.021
-8.994 -2.349 1.747
-2.321 4.321 2.392
Ag La Al
1 6 1
Cartesian
0.000 0.000 0.000
-13.971 -0.419 -0.339
-7.318 -0.345 -0.248
-17.456 0.795 0.311
-12.956 2.626 1.366
-6.303 2.699 1.457
-2.818 1.486 0.807
-10.137 1.140 0.559
```

Values from the calculation:
E_tot	-4.6556	eV/atom
magnetization	0.0	μB per formula unit
volume	32.15	A^3/atom
formation enthalpy at 0 K	-1.1	eV/f.u.
symmetry	No. 139

The following is a DFT calculation (PBE) of ZnSnB2 after structural relaxation.

```
ZnSnB2
1.0
0.000 3.031 3.031
3.031 0.000 3.031
3.031 3.031 0.000
B Zn Sn
2 1 1
Cartesian
1.515 1.515 1.515
4.546 4.546 4.546
0.000 0.000 0.000
3.031 3.031 3.031
```

Values from the calculation:
E_tot	-3.2594	eV/atom
magnetization	0.0	μB per formula unit
volume	13.92	A^3/atom
formation enthalpy at 0 K	5.6	eV/f.u.
symmetry	No. 225

The following is a DFT calculation (PBE) of Sb2OsRuI after structural relaxation.

```
Sb2OsRuI
1.0
-3.244 -3.278 2.040
2.165 0.662 4.506
-3.545 4.186 1.087
Os Sb Ru I
1 2 1 1
Cartesian
0.000 0.000 0.000
-1.622 -1.639 1.020
1.082 0.331 2.253
-2.312 0.785 3.817
-1.772 2.093 0.544
```

Values from the calculation:
E_tot	-4.6978	eV/atom
magnetization	2.4	μB per formula unit
volume	28.44	A^3/atom
formation energy (no corrections)	1.3623	eV/atom
symmetry	No. 123

The following is a DFT calculation (PBE) of PmNd3Tm6 after structural relaxation.

```
PmNd3Tm6
1.0
8.725 0.000 4.630
3.134 8.143 4.630
2.231 1.532 6.332
Nd Tm Pm
3 6 1
Cartesian
2.744 1.884 5.366
6.267 4.303 9.262
7.562 5.192 6.822
3.774 4.561 6.872
7.721 7.362 9.987
5.724 7.860 6.819
6.539 2.519 5.305
8.614 1.883 8.465
10.423 5.198 8.342
11.082 7.609 10.725
```

Values from the calculation:
E_tot	-4.2785	eV/atom
magnetization	0.0	μB per formula unit
volume	32.61	A^3/atom
formation enthalpy at 0 K	3.1	eV/f.u.
symmetry	No. 146

The following is a DFT calculation (PBE) of SrFe2SiIr after structural relaxation.

```
SrFe2SiIr
1.0
4.487 0.000 0.000
0.000 4.612 0.000
0.000 0.000 4.487
Fe Sr Si Ir
2 1 1 1
Cartesian
0.000 0.000 2.244
2.244 0.000 0.000
2.244 2.306 2.244
0.000 0.000 0.000
0.000 2.306 0.000
```

Values from the calculation:
E_tot	-6.3278	eV/atom
magnetization	4.5	μB per formula unit
volume	18.57	A^3/atom
formation energy (no corrections)	0.2504	eV/atom
symmetry	No. 123

The following is a DFT calculation (PBE) of Sr8Ga2Pt after structural relaxation.

```
Sr8Ga2Pt
1.0
-1.274 -4.101 -0.671
3.156 -2.263 7.836
-10.162 4.526 5.711
Sr Ga Pt
8 2 1
Cartesian
-3.916 -2.416 8.123
-0.137 -3.697 8.782
-10.495 -0.152 6.784
2.215 -1.685 6.092
-4.364 0.578 4.752
-8.143 1.860 4.094
-6.716 0.743 8.213
-1.564 -2.580 4.663
-1.140 -0.854 7.383
-7.141 -0.983 5.493
-0.637 -2.050 -0.336
```

Values from the calculation:
E_tot	-2.6311	eV/atom
magnetization	0.0	μB per formula unit
volume	42.54	A^3/atom
formation enthalpy at 0 K	-3.4	eV/f.u.
symmetry	No. 12

The following is a DFT calculation (PBE) of As2IrAu after structural relaxation.

```
As2IrAu
1.0
-1.671 -2.020 -1.248
2.589 0.682 -1.124
4.272 -6.991 5.599
As Au Ir
2 1 1
Cartesian
1.599 -2.535 0.308
4.120 -6.743 5.399
2.181 -3.570 2.859
3.697 -5.969 3.058
```

Values from the calculation:
E_tot	-5.0655	eV/atom
magnetization	0.0	μB per formula unit
volume	17.99	A^3/atom
formation enthalpy at 0 K	1.2	eV/f.u.
symmetry	No. 35

The following is a DFT calculation (PBE) of CeYPt3 after structural relaxation.

```
CeYPt3
1.0
-1.247 -5.272 4.605
7.720 -1.020 0.922
-0.022 5.038 5.762
Ce Y Pt
4 4 12
Cartesian
0.721 -1.650 1.445
5.752 -4.642 4.081
1.791 -1.992 6.832
4.660 0.738 4.456
4.641 3.298 7.301
0.684 0.832 4.358
1.810 -4.552 3.988
5.767 -2.087 6.930
0.328 0.377 7.304
2.593 0.279 2.315
3.869 -4.045 6.101
2.582 2.790 5.187
3.231 -1.895 4.195
6.112 0.895 6.874
-1.252 -4.005 6.054
3.220 0.640 7.094
7.703 2.750 5.234
6.123 -1.632 3.984
0.339 -2.149 4.414
3.858 -1.533 8.973
```

Values from the calculation:
E_tot	-7.2033	eV/atom
magnetization	0.3	μB per formula unit
volume	21.34	A^3/atom
formation enthalpy at 0 K	-5.5	eV/f.u.
symmetry	No. 58

The following is a DFT calculation (PBE) of Mn3HOs after structural relaxation.

```
Mn3HOs
1.0
4.493 0.000 0.174
0.000 5.146 0.000
-1.697 0.000 4.163
H Mn Os
2 6 2
Cartesian
3.549 3.860 2.318
-0.754 1.287 2.020
-0.111 2.573 3.227
-0.111 0.000 3.227
2.907 2.573 1.111
0.785 1.287 1.028
2.010 3.860 3.309
2.907 5.146 1.111
0.757 3.860 1.047
2.038 1.287 3.290
```

Values from the calculation:
E_tot	-8.3709	eV/atom
magnetization	0.0	μB per formula unit
volume	9.78	A^3/atom
symmetry	No. 63

The following is a DFT calculation (PBE) of LaPr3Dy2Se6 after structural relaxation.

```
LaPr3Dy2Se6
1.0
-2.253 1.666 -6.717
-4.027 -4.330 4.242
-1.222 6.427 3.319
Se Dy Pr La
6 2 3 1
Cartesian
-2.611 4.208 1.880
-5.315 3.922 -1.219
-4.890 -0.445 -1.035
-5.927 1.855 2.559
-2.186 -0.159 2.063
-1.575 1.908 -1.715
-3.436 -2.335 0.595
-2.843 -0.330 -3.069
-4.352 -0.152 4.139
-3.149 3.915 -3.295
-3.751 1.881 0.422
0.000 0.000 0.000
```

Values from the calculation:
E_tot	-5.9557	eV/atom
magnetization	0.0	μB per formula unit
volume	26.40	A^3/atom
formation energy (no corrections)	-1.8409	eV/atom
symmetry	No. 12

The following is a DFT calculation (PBE) of TlH4Rh after structural relaxation.

```
TlH4Rh
1.0
5.553 -0.069 0.540
0.929 4.526 2.590
0.054 0.092 5.236
H Rh Tl
8 2 2
Cartesian
0.404 0.694 4.533
6.133 3.856 3.833
2.354 2.756 2.485
2.651 0.354 4.580
5.300 3.419 6.893
4.182 1.793 5.881
1.237 1.130 1.473
3.885 4.196 3.787
2.280 4.311 3.084
4.256 0.238 5.283
4.507 1.565 2.873
2.029 2.984 5.493
```

Values from the calculation:
E_tot	-3.8115	eV/atom
magnetization	0.0	μB per formula unit
volume	10.88	A^3/atom
symmetry	No. 15

The following is a DFT calculation (PBE) of OsRhPb2 after structural relaxation.

```
OsRhPb2
1.0
-1.900 -3.779 -1.132
2.786 -0.395 -3.354
6.291 -6.642 3.150
Os Rh Pb
2 2 4
Cartesian
2.417 -6.254 -0.113
0.000 0.000 0.000
0.443 -2.087 -2.243
4.760 -4.562 -1.224
3.073 -2.386 -1.452
5.055 -6.547 0.675
0.737 -4.066 -0.338
5.489 -8.633 -1.558
```

Values from the calculation:
E_tot	-5.5637	eV/atom
magnetization	1.2	μB per formula unit
volume	21.96	A^3/atom
formation enthalpy at 0 K	3.7	eV/f.u.
symmetry	No. 122

The following is a DFT calculation (PBE) of HfSn2GeB after structural relaxation.

```
HfSn2GeB
1.0
-1.299 2.456 -4.083
-4.761 -0.844 1.007
-0.169 3.590 2.212
Sn B Hf Ge
2 1 1 1
Cartesian
-2.380 -0.422 0.504
-0.650 1.228 -2.042
0.000 0.000 0.000
-3.114 2.601 -0.432
-0.084 1.795 1.106
```

Values from the calculation:
E_tot	-5.1752	eV/atom
magnetization	0.0	μB per formula unit
volume	20.59	A^3/atom
formation enthalpy at 0 K	3.4	eV/f.u.
symmetry	No. 123

The following is a DFT calculation (PBE) of NaInSe2O8 after structural relaxation.

```
NaInSe2O8
1.0
5.107 0.000 0.000
2.553 4.422 0.000
2.553 1.474 7.918
O In Na Se
8 1 1 2
Cartesian
2.553 1.474 3.521
6.067 4.443 6.599
3.332 3.032 6.599
5.921 1.370 6.599
7.660 4.422 4.396
4.292 4.527 1.319
4.147 1.454 1.319
6.881 2.864 1.319
0.000 0.000 0.000
5.107 2.948 3.959
7.660 4.422 6.040
2.553 1.474 1.878
```

Values from the calculation:
E_tot	-5.2208	eV/atom
magnetization	0.0	μB per formula unit
volume	14.90	A^3/atom
formation energy (no corrections)	-0.9965	eV/atom
symmetry	No. 148

The following is a DFT calculation (PBE) of YFe2Br after structural relaxation.

```
YFe2Br
1.0
-1.887 1.688 2.847
-2.258 -3.053 0.314
3.746 -2.370 3.888
Br Fe Y
1 2 1
Cartesian
0.737 -2.460 4.497
0.239 -0.151 0.248
1.634 -1.034 1.696
-1.136 -1.275 2.553
```

Values from the calculation:
E_tot	-6.0045	eV/atom
magnetization	4.1	μB per formula unit
volume	21.40	A^3/atom
formation energy (no corrections)	0.2611	eV/atom
symmetry	No. 123

The following is a DFT calculation (PBE) of CrFeHPt2 after structural relaxation.

```
CrFeHPt2
1.0
3.909 0.000 0.000
0.000 3.909 0.000
0.000 0.000 3.924
Cr H Fe Pt
1 1 1 2
Cartesian
0.000 0.000 1.962
0.000 0.000 0.000
1.955 1.955 1.962
1.955 0.000 0.000
0.000 1.955 0.000
```

Values from the calculation:
E_tot	-6.6706	eV/atom
magnetization	5.9	μB per formula unit
volume	11.99	A^3/atom
symmetry	No. 123

The following is a DFT calculation (PBE) of Ac2AsP3Rh4 after structural relaxation.

```
Ac2AsP3Rh4
1.0
4.311 0.000 0.000
0.000 4.311 0.000
0.000 0.000 9.886
P Rh As Ac
3 4 1 2
Cartesian
0.000 0.000 4.943
2.156 0.000 8.573
0.000 2.156 1.313
0.000 0.000 0.000
0.000 2.156 3.753
2.156 2.156 0.000
2.156 0.000 6.133
2.156 2.156 4.943
2.156 0.000 2.492
0.000 2.156 7.394
```

Values from the calculation:
E_tot	-6.8438	eV/atom
magnetization	0.0	μB per formula unit
volume	18.37	A^3/atom
formation enthalpy at 0 K	-9.9	eV/f.u.
symmetry	No. 115

The following is a DFT calculation (PBE) of TaIr2PtRh after structural relaxation.

```
TaIr2PtRh
1.0
4.683 0.000 0.000
0.000 4.625 0.000
0.000 0.000 4.683
Ir Rh Pt Ta
2 1 1 1
Cartesian
2.341 0.000 0.000
0.000 0.000 2.341
0.000 0.000 0.000
2.341 2.312 2.341
0.000 2.312 0.000
```

Values from the calculation:
E_tot	-6.9842	eV/atom
magnetization	0.0	μB per formula unit
volume	20.28	A^3/atom
formation enthalpy at 0 K	8.0	eV/f.u.
symmetry	No. 123

The following is a DFT calculation (PBE) of Tl2InSn2 after structural relaxation.

```
Tl2InSn2
1.0
4.282 0.000 0.000
0.000 4.282 0.000
2.141 2.141 8.676
Sn Tl In
2 2 1
Cartesian
4.282 2.141 4.338
2.141 4.282 4.338
2.141 2.141 1.729
4.282 4.282 6.947
0.000 0.000 0.000
```

Values from the calculation:
E_tot	-2.9892	eV/atom
magnetization	0.0	μB per formula unit
volume	31.82	A^3/atom
formation enthalpy at 0 K	0.5	eV/f.u.
symmetry	No. 139

The following is a DFT calculation (PBE) of La4CdCo after structural relaxation.

```
La4CdCo
1.0
6.205 -0.587 0.000
-1.675 8.320 0.000
-2.265 -3.867 7.188
La Co Cd
8 2 2
Cartesian
-1.090 2.087 6.220
3.069 -1.238 2.684
-0.804 5.105 4.505
4.277 5.661 0.969
-2.012 -1.794 6.220
3.355 1.780 0.969
2.232 2.922 4.505
0.033 0.945 2.684
-2.389 4.307 7.074
4.654 -0.440 0.114
0.714 4.014 1.703
1.551 -0.147 5.485
```

Values from the calculation:
E_tot	-4.7588	eV/atom
magnetization	0.0	μB per formula unit
volume	30.34	A^3/atom
formation enthalpy at 0 K	-0.8	eV/f.u.
symmetry	No. 15